Density functional theory data (PBE) for HoThTl after structural relaxation.

Calculated values
For the energy, the calculation gives -4.92 eV/atom. The value obtained for the distance to the lowest polymorph of the same formula is 0 meV per atom. As for the space-group type: I4/mmm (139).

Geometry as POSCAR:
```
HoThTl
1.0
4.516 0.000 -0.942
-0.196 4.512 -0.942
-0.438 -0.458 9.197
Ho Th Tl
2 2 2
direct
0.178 0.178 0.355 Ho
0.822 0.822 0.645 Ho
0.000 0.500 0.000 Th
0.500 0.000 0.000 Th
0.357 0.357 0.713 Tl
0.643 0.643 0.287 Tl
```